Record 1
A geometry-optimized Dy2CdNi structure, computed with PBE.

## Properties
As for the raw total energy: -4.344 eV per atom. The formation energy is -0.368 eV per atom. Its magnetization is 0.0 μB per formula unit.

Lattice parameters (Å, degrees): 3.449 3.449 7.632 90.00 90.00 90.00
Space group P4/mmm (No. 123)
Asymmetric unit:
Dy (0.000, 0.000, 0.212) x2
Cd (0.500, 0.500, 0.500) x1
Ni (0.500, 0.500, 0.000) x1

Record 2
A geometry-optimized Ca2PmC2N6 structure, computed with PBE.

## Properties
As for the raw total energy: -7.403 eV per atom. Its magnetization is 1.0 μB per formula unit.

Lattice parameters (Å, degrees): 5.5158 5.5158 6.0863 90.00 90.00 120.00
Space group P-3 (No. 147)
Asymmetric unit:
Ca (0.3333, 0.6667, 0.3688) x2
Pm (0.0000, 0.0000, 0.0000) x1
C (0.3333, 0.6667, 0.7775) x2
N (0.1102, 0.4083, 0.7631) x6

Record 3
A geometry-optimized InSb2AuI structure, computed with PBE.

## Properties
As for the raw total energy: -2.768 eV per atom. Its magnetization is 1.2 μB per formula unit.

Lattice parameters (Å, degrees): 5.424 5.424 5.953 90.00 90.00 90.00
Space group P4/mmm (No. 123)
Asymmetric unit:
In (0.000, 0.000, 0.000) x1
Sb (0.000, 0.500, 0.500) x2
Au (0.500, 0.500, 0.500) x1
I (0.500, 0.500, 0.000) x1

Record 4
A geometry-optimized RbTaSb2 structure, computed with PBE.

## Properties
As for the raw total energy: -5.098 eV per atom. Its magnetization is 0.0 μB per formula unit.

Lattice parameters (Å, degrees): 7.783 7.783 12.174 90.00 90.00 90.00
Space group I-42d (No. 122)
Asymmetric unit:
Rb (0.000, 0.000, 0.000) x4
Ta (0.000, 0.000, 0.500) x4
Sb (0.122, 0.250, 0.625) x8

Record 5
A geometry-optimized LiCa2Cd structure, computed with PBE.

## Properties
As for the raw total energy: -1.879 eV per atom. The formation energy is -0.171 eV per atom. Its magnetization is 0.0 μB per formula unit.

Lattice parameters (Å, degrees): 4.972 4.017 12.160 90.00 90.00 90.00
Space group Amm2 (No. 38)
Asymmetric unit:
Li (0.000, 0.000, 0.000) x2
Ca (0.000, 0.000, 0.285) x2
Ca (0.500, 0.000, 0.587) x2
Cd (0.500, 0.000, 0.867) x2

Record 6
A geometry-optimized Ac2HfOs2N6 structure, computed with PBE.

## Properties
As for the raw total energy: -8.760 eV per atom. Its magnetization is 0.0 μB per formula unit.

Lattice parameters (Å, degrees): 5.9856 5.9856 17.1403 90.00 90.00 120.00
Space group R-3m (No. 166, hexagonal axes)
Asymmetric unit:
Ac (0.0000, 0.0000, 0.2177) x6
Hf (0.0000, 0.0000, 0.0000) x3
Os (0.0000, 0.0000, 0.4057) x6
N (0.0189, 0.5095, 0.7516) x18

Record 7
A geometry-optimized Ho4Mg4Pb7 structure, computed with PBE.

## Properties
As for the raw total energy: -3.659 eV per atom. The formation energy is -0.282 eV per atom. Its magnetization is 0.0 μB per formula unit.

Lattice parameters (Å, degrees): 15.962 15.962 6.319 90.00 90.00 90.00
Space group I4/mmm (No. 139)
Asymmetric unit:
Ho (0.000, 0.189, 0.000) x8
Ho (0.134, 0.134, 0.500) x8
Mg (0.155, 0.345, 0.250) x16
Pb (0.000, 0.000, 0.250) x4
Pb (0.000, 0.273, 0.500) x8
Pb (0.000, 0.405, 0.000) x8
Pb (0.194, 0.194, 0.000) x8

Record 8
A geometry-optimized Ac2TbNd4 structure, computed with PBE.

## Properties
As for the raw total energy: -3.997 eV per atom. The formation energy is 0.563 eV per atom. Its magnetization is 0.7 μB per formula unit.

Lattice parameters (Å, degrees): 5.741 5.741 18.351 90.00 90.00 90.00
Space group I4/mmm (No. 139)
Asymmetric unit:
Ac (0.000, 0.000, 0.128) x4
Tb (0.000, 0.000, 0.500) x2
Nd (0.000, 0.000, 0.326) x4
Nd (0.000, 0.500, 0.000) x4

Record 9
A geometry-optimized YPaAl structure, computed with PBE.

## Properties
As for the raw total energy: -6.363 eV per atom. The formation energy is 0.205 eV per atom. Its magnetization is 0.5 μB per formula unit.

Lattice parameters (Å, degrees): 5.1727 5.1727 3.0158 90.00 90.00 120.00
Space group P3m1 (No. 156)
Asymmetric unit:
Y (0.0000, 0.0000, 0.0000) x1
Pa (0.3333, 0.6667, 0.0040) x1
Al (0.6667, 0.3333, 0.5039) x1

Record 10
A geometry-optimized Tl2ZnCuAs structure, computed with PBE.

## Properties
As for the raw total energy: -2.336 eV per atom. The formation energy is 0.615 eV per atom. Its magnetization is 0.0 μB per formula unit.

Lattice parameters (Å, degrees): 5.540 5.540 4.661 90.00 90.00 90.00
Space group P4/mmm (No. 123)
Asymmetric unit:
Tl (0.000, 0.500, 0.000) x2
Zn (0.000, 0.000, 0.000) x1
Cu (0.500, 0.500, 0.500) x1
As (0.000, 0.000, 0.500) x1

Record 11
A geometry-optimized Sm2TeI structure, computed with PBE.

## Properties
As for the raw total energy: -4.598 eV per atom. Its magnetization is 0.0 μB per formula unit.

Lattice parameters (Å, degrees): 7.678 7.678 7.678 90.00 90.00 90.00
Space group Fm-3m (No. 225)
Asymmetric unit:
Sm (0.250, 0.250, 0.250) x8
Te (0.000, 0.000, 0.000) x4
I (0.000, 0.000, 0.500) x4

Record 12
A geometry-optimized Pr3SiSn2 structure, computed with PBE.

## Properties
As for the raw total energy: -5.302 eV per atom. Its magnetization is 0.4 μB per formula unit.

Lattice parameters (Å, degrees): 12.779 4.410 12.415 90.00 90.00 90.00
Space group Pnma (No. 62)
Asymmetric unit:
Pr (0.056, 0.250, 0.120) x4
Pr (0.114, 0.750, 0.550) x4
Pr (0.228, 0.250, 0.785) x4
Si (0.128, 0.250, 0.371) x4
Sn (0.008, 0.750, 0.302) x4
Sn (0.194, 0.750, 0.995) x4

Record 13
A geometry-optimized ZrAlCr2 structure, computed with PBE.

## Properties
As for the raw total energy: -7.778 eV per atom. The formation energy is 0.106 eV per atom. Its magnetization is 0.0 μB per formula unit.

Lattice parameters (Å, degrees): 8.941 3.128 4.762 90.00 106.40 90.00
Space group C2/m (No. 12)
Asymmetric unit:
Zr (0.000, 0.000, 0.000) x2
Al (0.000, 0.500, 0.500) x2
Cr (0.246, 0.000, 0.672) x4

Record 14
A geometry-optimized Ba2ZnPb2 structure, computed with PBE.

## Properties
As for the raw total energy: -2.625 eV per atom. The formation energy is -0.118 eV per atom. Its magnetization is 0.0 μB per formula unit.

Lattice parameters (Å, degrees): 6.995 6.995 8.744 90.00 90.00 90.00
Space group I4/mmm (No. 139)
Asymmetric unit:
Ba (0.000, 0.500, 0.250) x4
Zn (0.000, 0.000, 0.000) x2
Pb (0.000, 0.000, 0.325) x4

Record 15
A geometry-optimized MnRhAu3 structure, computed with PBE.

## Properties
As for the raw total energy: -4.245 eV per atom. The formation energy is 1.026 eV per atom. Its magnetization is 5.8 μB per formula unit.

Lattice parameters (Å, degrees): 4.994 4.994 4.994 90.00 90.00 90.00
Space group Pm-3m (No. 221)
Asymmetric unit:
Mn (0.000, 0.000, 0.000) x1
Rh (0.500, 0.500, 0.500) x1
Au (0.000, 0.500, 0.500) x3

Record 16
A geometry-optimized Ir4Os5 structure, computed with PBE.

## Properties
As for the raw total energy: -9.812 eV per atom. The formation energy is 0.365 eV per atom. Its magnetization is 0.0 μB per formula unit.

Lattice parameters (Å, degrees): 7.5325 7.5325 5.4223 90.00 90.00 120.00
Space group P6_3/mcm (No. 193)
Asymmetric unit:
Ir (0.0000, 0.0000, 0.0000) x2
Ir (0.0000, 0.3360, 0.2500) x6
Os (0.0000, 0.3337, 0.7500) x6
Os (0.3333, 0.6667, 0.0000) x4

Record 17
A geometry-optimized Pu2IrRh structure, computed with PBE.

## Properties
As for the raw total energy: -11.659 eV per atom. The formation energy is -0.440 eV per atom. Its magnetization is 10.1 μB per formula unit.

Lattice parameters (Å, degrees): 3.579 3.579 6.241 90.00 90.00 90.00
Space group P4/mmm (No. 123)
Asymmetric unit:
Pu (0.000, 0.000, 0.249) x2
Ir (0.500, 0.500, 0.000) x1
Rh (0.500, 0.500, 0.500) x1

Record 18
A geometry-optimized Tm4Hg5Pb structure, computed with PBE.

## Properties
As for the raw total energy: -2.697 eV per atom. The formation energy is -0.387 eV per atom. Its magnetization is 0.0 μB per formula unit.

Lattice parameters (Å, degrees): 3.711 3.711 18.362 90.00 90.00 90.00
Space group P4/mmm (No. 123)
Asymmetric unit:
Tm (0.000, 0.000, 0.098) x2
Tm (0.000, 0.000, 0.297) x2
Hg (0.500, 0.500, 0.000) x1
Hg (0.500, 0.500, 0.194) x2
Hg (0.500, 0.500, 0.389) x2
Pb (0.000, 0.000, 0.500) x1

Record 19
A geometry-optimized Pm3Ga2SiNi9 structure, computed with PBE.

## Properties
As for the raw total energy: -5.374 eV per atom. Its magnetization is 0.0 μB per formula unit.

Lattice parameters (Å, degrees): 6.0632 6.0632 8.1440 90.00 90.00 120.00
Space group P-3m1 (No. 164)
Asymmetric unit:
Pm (0.0000, 0.0000, 0.0000) x1
Pm (0.3333, 0.6667, 0.6680) x2
Ga (0.3333, 0.6667, 0.1938) x2
Si (0.0000, 0.0000, 0.5000) x1
Ni (0.0000, 0.5000, 0.0000) x3
Ni (0.1340, 0.2679, 0.2897) x6

Record 20
A geometry-optimized Tb2TlSn4 structure, computed with PBE.

## Properties
As for the raw total energy: -4.321 eV per atom. The formation energy is -0.373 eV per atom. Its magnetization is 0.0 μB per formula unit.

Lattice parameters (Å, degrees): 9.148 9.236 9.448 90.00 90.00 90.00
Space group Fmmm (No. 69)
Asymmetric unit:
Tb (0.250, 0.250, 0.000) x8
Tl (0.000, 0.000, 0.000) x4
Sn (0.000, 0.250, 0.250) x8
Sn (0.250, 0.000, 0.250) x8